4
Lattice="4.133 0.000 0.000 0.000 4.133 0.000 0.000 0.000 6.713" Properties=species:S:1:pos:R:3 comment="ThAgBi2, relaxed, DFT PBE" total_energy_ev_per_cell=-18.6 ef_ev_per_atom=-0.15 total_magnetization_mub_per_fu=0.000 pbc="T T T"
Th 0.000 0.000 0.000
Ag 0.000 0.000 3.357
Bi 2.067 2.067 1.737
Bi 2.067 2.067 4.976



4
Lattice="2.237 1.292 7.756 -2.237 1.292 7.756 0.000 -2.583 7.756" Properties=species:S:1:pos:R:3 comment="Th2TlPb, relaxed, DFT PBE" total_energy_ev_per_cell=-21.2 ef_ev_per_atom=-0.07 total_magnetization_mub_per_fu=0.000 pbc="T T T"
Th 0.000 0.000 5.801
Th 0.000 0.000 17.467
Tl 0.000 0.000 0.000
Pb 0.000 0.000 11.634



8
Lattice="1.677 -12.281 0.000 1.677 12.281 0.000 0.000 0.000 4.040" Properties=species:S:1:pos:R:3 comment="HgPtS2, relaxed, DFT PBE" total_energy_ev_per_cell=-28.1 total_magnetization_mub_per_fu=0.000 raw_formation_energy_ev_per_atom=0.1327 pbc="T T T"
Hg 1.677 11.222 3.030
Hg 1.677 -11.222 1.010
Pt 1.677 4.672 3.030
Pt 1.677 -4.672 1.010
S 1.677 9.352 1.010
S 1.677 7.038 3.030
S 1.677 -7.038 1.010
S 1.677 -9.352 3.030